VASP calculation (PBE-GGA) on an optimized crystal structure of LaAsRh2.

## Properties
DFT total energy ... -26.3 eV/f.u.
Energy relative to the elements ... -48.8 kJ/mol of atoms
DOS(E_F) ... 0.299 states/eV/atom

a = 3.673 Å, b = 3.673 Å, c = 5.758 Å
α = 90.00°, β = 90.00°, γ = 90.00°
Positions (direct):
La: 0.000 0.000 0.000
As: 0.500 0.500 0.641
Rh: 0.000 0.000 0.508
Rh: 0.500 0.500 0.226

***

VASP calculation (PBE-GGA) on an optimized crystal structure of LaAs4Rh.

## Properties
DFT total energy ... -31.4 eV/f.u.
Energy relative to the elements ... -7.9 kJ/mol of atoms
DOS(E_F) ... 0.683 states/eV/atom

a = 5.590 Å, b = 5.590 Å, c = 5.590 Å
α = 60.00°, β = 60.00°, γ = 60.00°
Positions (direct):
La: 0.000 0.000 0.000
As: 0.377 0.377 0.377
As: 0.377 0.377 0.869
As: 0.377 0.869 0.377
As: 0.869 0.377 0.377
Rh: 0.750 0.750 0.750

***

VASP calculation (PBE-GGA) on an optimized crystal structure of LaAsRh2.

## Properties
DFT total energy ... -27.6 eV/f.u.
Energy relative to the elements ... -78.9 kJ/mol of atoms
DOS(E_F) ... 0.454 states/eV/atom

a = 4.030 Å, b = 4.030 Å, c = 9.809 Å
α = 90.00°, β = 90.00°, γ = 90.00°
Positions (direct):
La: 0.250 0.250 0.205
La: 0.750 0.750 0.795
As: 0.250 0.250 0.648
As: 0.750 0.750 0.352
Rh: 0.250 0.250 0.897
Rh: 0.250 0.750 0.500
Rh: 0.750 0.250 0.500
Rh: 0.750 0.750 0.103

***

VASP calculation (PBE-GGA) on an optimized crystal structure of LaAsRh2.

## Properties
DFT total energy ... -27.4 eV/f.u.
Energy relative to the elements ... -75.8 kJ/mol of atoms
DOS(E_F) ... 0.316 states/eV/atom

a = 4.172 Å, b = 4.172 Å, c = 4.763 Å
α = 90.00°, β = 90.08°, γ = 90.00°
Positions (direct):
La: 0.000 0.000 0.000
As: 0.500 0.500 0.699
Rh: 0.000 0.500 0.444
Rh: 0.500 0.000 0.444

***

VASP calculation (PBE-GGA) on an optimized crystal structure of La2As2Rh5.

## Properties
DFT total energy ... -63.0 eV/f.u.
Energy relative to the elements ... -75.8 kJ/mol of atoms
DOS(E_F) ... 0.425 states/eV/atom

a = 4.312 Å, b = 4.312 Å, c = 9.050 Å
α = 90.00°, β = 90.00°, γ = 90.00°
Positions (direct):
La: 0.000 0.000 0.000
La: 0.000 0.000 0.500
As: 0.500 0.500 0.153
As: 0.500 0.500 0.847
Rh: 0.000 0.500 0.268
Rh: 0.000 0.500 0.732
Rh: 0.500 0.000 0.268
Rh: 0.500 0.000 0.732
Rh: 0.500 0.500 0.500

***

VASP calculation (PBE-GGA) on an optimized crystal structure of LaAs2Rh5.

## Properties
DFT total energy ... -56.3 eV/f.u.
Energy relative to the elements ... -63.6 kJ/mol of atoms
DOS(E_F) ... 0.616 states/eV/atom

a = 3.976 Å, b = 7.043 Å, c = 9.767 Å
α = 90.00°, β = 90.00°, γ = 90.00°
Positions (direct):
La: 0.000 0.000 0.000
La: 0.500 0.500 0.500
As: 0.000 0.500 0.244
As: 0.000 0.500 0.756
As: 0.500 0.000 0.256
As: 0.500 0.000 0.744
Rh: 0.000 0.197 0.354
Rh: 0.000 0.197 0.646
Rh: 0.000 0.500 0.000
Rh: 0.000 0.803 0.354
Rh: 0.000 0.803 0.646
Rh: 0.500 0.000 0.500
Rh: 0.500 0.303 0.146
Rh: 0.500 0.303 0.854
Rh: 0.500 0.697 0.146
Rh: 0.500 0.697 0.854

***

VASP calculation (PBE-GGA) on an optimized crystal structure of LaAsRh2.

## Properties
DFT total energy ... -26.5 eV/f.u.
Energy relative to the elements ... -52.6 kJ/mol of atoms
DOS(E_F) ... 0.357 states/eV/atom

a = 3.567 Å, b = 4.529 Å, c = 9.374 Å
α = 90.00°, β = 90.00°, γ = 90.00°
Positions (direct):
La: 0.000 0.000 0.000
La: 0.500 0.500 0.500
As: 0.000 0.500 0.237
As: 0.500 0.000 0.737
Rh: 0.000 0.000 0.542
Rh: 0.000 0.500 0.776
Rh: 0.500 0.000 0.276
Rh: 0.500 0.500 0.042

***

VASP calculation (PBE-GGA) on an optimized crystal structure of La3As4Rh2.

## Properties
DFT total energy ... -58.2 eV/f.u.
Energy relative to the elements ... -108.7 kJ/mol of atoms
DOS(E_F) ... 0.216 states/eV/atom

a = 6.053 Å, b = 6.053 Å, c = 8.340 Å
α = 100.48°, β = 100.48°, γ = 43.14°
Positions (direct):
La: 0.000 0.000 0.000
La: 0.341 0.341 0.337
La: 0.659 0.659 0.663
As: 0.074 0.074 0.394
As: 0.272 0.272 0.928
As: 0.728 0.728 0.072
As: 0.926 0.926 0.606
Rh: 0.403 0.403 0.726
Rh: 0.597 0.597 0.274

***

VASP calculation (PBE-GGA) on an optimized crystal structure of LaAsRh.

## Properties
DFT total energy ... -18.7 eV/f.u.
Energy relative to the elements ... -55.7 kJ/mol of atoms
DOS(E_F) ... 0.740 states/eV/atom

a = 4.029 Å, b = 4.029 Å, c = 8.789 Å
α = 90.00°, β = 90.00°, γ = 90.00°
Positions (direct):
La: 0.000 0.000 0.000
La: 0.500 0.500 0.500
As: 0.000 0.000 0.665
As: 0.500 0.500 0.165
Rh: 0.000 0.000 0.390
Rh: 0.500 0.500 0.890

***

VASP calculation (PBE-GGA) on an optimized crystal structure of LaAsRh2.

## Properties
DFT total energy ... -27.0 eV/f.u.
Energy relative to the elements ... -66.7 kJ/mol of atoms
DOS(E_F) ... 0.550 states/eV/atom

a = 8.804 Å, b = 3.933 Å, c = 4.950 Å
α = 90.00°, β = 107.15°, γ = 90.00°
Positions (direct):
La: 0.000 0.000 0.000
La: 0.500 0.500 0.000
As: 0.238 0.000 0.610
As: 0.738 0.500 0.610
Rh: 0.020 0.500 0.528
Rh: 0.291 0.500 0.365
Rh: 0.520 0.000 0.528
Rh: 0.791 0.000 0.365

***

VASP calculation (PBE-GGA) on an optimized crystal structure of LaAsRh3.

## Properties
DFT total energy ... -26.2 eV/f.u.
Energy relative to the elements ... 105.3 kJ/mol of atoms
DOS(E_F) ... 1.064 states/eV/atom

a = 4.885 Å, b = 4.885 Å, c = 4.885 Å
α = 90.00°, β = 90.00°, γ = 90.00°
Positions (direct):
La: 0.000 0.000 0.000
As: 0.500 0.500 0.500
Rh: 0.000 0.000 0.500
Rh: 0.000 0.500 0.000
Rh: 0.500 0.000 0.000

***

VASP calculation (PBE-GGA) on an optimized crystal structure of La2As4Rh5.

## Properties
DFT total energy ... -73.9 eV/f.u.
Energy relative to the elements ... -76.1 kJ/mol of atoms
DOS(E_F) ... 0.684 states/eV/atom

a = 8.996 Å, b = 7.974 Å, c = 5.754 Å
α = 80.11°, β = 60.83°, γ = 39.06°
Positions (direct):
La: 0.133 0.133 0.867
La: 0.867 0.867 0.133
As: 0.213 0.531 0.469
As: 0.469 0.787 0.213
As: 0.531 0.213 0.787
As: 0.787 0.469 0.531
Rh: 0.000 0.000 0.500
Rh: 0.250 0.250 0.250
Rh: 0.500 0.500 0.000
Rh: 0.500 0.500 0.500
Rh: 0.750 0.750 0.750

***

VASP calculation (PBE-GGA) on an optimized crystal structure of La2As7Rh12.

## Properties
DFT total energy ... -145.7 eV/f.u.
Energy relative to the elements ... -69.5 kJ/mol of atoms
DOS(E_F) ... 0.759 states/eV/atom

a = 10.032 Å, b = 10.032 Å, c = 3.984 Å
α = 90.00°, β = 90.00°, γ = 120.00°
Positions (direct):
La: 0.333 0.667 0.250
La: 0.667 0.333 0.750
As: 0.000 0.000 0.000
As: 0.113 0.402 0.749
As: 0.288 0.887 0.749
As: 0.402 0.288 0.251
As: 0.598 0.712 0.749
As: 0.712 0.113 0.251
As: 0.887 0.598 0.251
Rh: 0.063 0.619 0.750
Rh: 0.115 0.853 0.253
Rh: 0.147 0.262 0.253
Rh: 0.262 0.115 0.747
Rh: 0.381 0.444 0.750
Rh: 0.444 0.063 0.250
Rh: 0.556 0.937 0.750
Rh: 0.619 0.556 0.250
Rh: 0.738 0.885 0.253
Rh: 0.853 0.738 0.747
Rh: 0.885 0.147 0.747
Rh: 0.937 0.381 0.250

***

VASP calculation (PBE-GGA) on an optimized crystal structure of La3As4Rh4.

## Properties
DFT total energy ... -74.8 eV/f.u.
Energy relative to the elements ... -105.5 kJ/mol of atoms
DOS(E_F) ... 0.454 states/eV/atom

a = 13.158 Å, b = 13.158 Å, c = 13.158 Å
α = 161.99°, β = 161.33°, γ = 26.05°
Positions (direct):
La: 0.000 0.000 0.000
La: 0.354 0.854 0.500
La: 0.646 0.146 0.500
As: 0.194 0.694 0.500
As: 0.449 0.449 0.000
As: 0.551 0.551 0.000
As: 0.806 0.306 0.500
Rh: 0.098 0.598 0.500
Rh: 0.249 0.249 0.000
Rh: 0.751 0.751 0.000
Rh: 0.902 0.402 0.500

***

VASP calculation (PBE-GGA) on an optimized crystal structure of LaAsRh2.

## Properties
DFT total energy ... -25.8 eV/f.u.
Energy relative to the elements ... -37.7 kJ/mol of atoms
DOS(E_F) ... 0.438 states/eV/atom

a = 3.501 Å, b = 3.501 Å, c = 6.241 Å
α = 90.00°, β = 90.00°, γ = 90.00°
Positions (direct):
La: 0.000 0.000 0.000
As: 0.000 0.000 0.500
Rh: 0.500 0.500 0.283
Rh: 0.500 0.500 0.717

***

VASP calculation (PBE-GGA) on an optimized crystal structure of LaAs3Rh5.

## Properties
DFT total energy ... -61.7 eV/f.u.
Energy relative to the elements ... -65.2 kJ/mol of atoms
DOS(E_F) ... 0.549 states/eV/atom

a = 6.614 Å, b = 6.614 Å, c = 12.563 Å
α = 90.00°, β = 90.00°, γ = 144.68°
Positions (direct):
La: 0.161 0.839 0.750
La: 0.839 0.161 0.250
As: 0.109 0.891 0.250
As: 0.386 0.614 0.046
As: 0.386 0.614 0.454
As: 0.614 0.386 0.546
As: 0.614 0.386 0.954
As: 0.891 0.109 0.750
Rh: 0.000 0.000 0.000
Rh: 0.000 0.000 0.500
Rh: 0.204 0.796 0.074
Rh: 0.204 0.796 0.426
Rh: 0.440 0.560 0.640
Rh: 0.440 0.560 0.860
Rh: 0.560 0.440 0.140
Rh: 0.560 0.440 0.360
Rh: 0.796 0.204 0.574
Rh: 0.796 0.204 0.926

***

VASP calculation (PBE-GGA) on an optimized crystal structure of LaAs2Rh3.

## Properties
DFT total energy ... -41.6 eV/f.u.
Energy relative to the elements ... -86.0 kJ/mol of atoms
DOS(E_F) ... 0.493 states/eV/atom

a = 8.540 Å, b = 8.540 Å, c = 10.011 Å
α = 107.02°, β = 107.02°, γ = 27.49°
Positions (direct):
La: 0.000 0.000 0.000
La: 0.157 0.157 0.699
La: 0.843 0.843 0.301
As: 0.196 0.196 0.129
As: 0.362 0.362 0.547
As: 0.463 0.463 0.223
As: 0.537 0.537 0.777
As: 0.638 0.638 0.453
As: 0.804 0.804 0.871
Rh: 0.045 0.045 0.331
Rh: 0.220 0.220 0.394
Rh: 0.321 0.321 0.041
Rh: 0.374 0.374 0.794
Rh: 0.500 0.500 0.500
Rh: 0.626 0.626 0.206
Rh: 0.679 0.679 0.959
Rh: 0.780 0.780 0.606
Rh: 0.955 0.955 0.669

***

VASP calculation (PBE-GGA) on an optimized crystal structure of LaAsRh2.

## Properties
DFT total energy ... -25.3 eV/f.u.
Energy relative to the elements ... -24.7 kJ/mol of atoms
DOS(E_F) ... 1.781 states/eV/atom

a = 6.756 Å, b = 6.756 Å, c = 6.756 Å
α = 90.00°, β = 90.00°, γ = 90.00°
Positions (direct):
La: 0.000 0.000 0.000
La: 0.000 0.500 0.500
La: 0.500 0.000 0.500
La: 0.500 0.500 0.000
As: 0.250 0.250 0.750
As: 0.250 0.750 0.250
As: 0.750 0.250 0.250
As: 0.750 0.750 0.750
Rh: 0.000 0.000 0.500
Rh: 0.000 0.500 0.000
Rh: 0.250 0.250 0.250
Rh: 0.250 0.750 0.750
Rh: 0.500 0.000 0.000
Rh: 0.500 0.500 0.500
Rh: 0.750 0.250 0.750
Rh: 0.750 0.750 0.250

***

VASP calculation (PBE-GGA) on an optimized crystal structure of LaAsRh.

## Properties
DFT total energy ... -20.4 eV/f.u.
Energy relative to the elements ... -112.5 kJ/mol of atoms
DOS(E_F) ... 0.595 states/eV/atom

a = 4.205 Å, b = 4.205 Å, c = 15.108 Å
α = 90.00°, β = 90.00°, γ = 90.00°
Positions (direct):
La: 0.000 0.000 0.000
La: 0.000 0.500 0.250
La: 0.500 0.000 0.750
La: 0.500 0.500 0.500
As: 0.000 0.000 0.419
As: 0.000 0.500 0.669
As: 0.500 0.000 0.169
As: 0.500 0.500 0.919
Rh: 0.000 0.000 0.584
Rh: 0.000 0.500 0.834
Rh: 0.500 0.000 0.334
Rh: 0.500 0.500 0.084

***

VASP calculation (PBE-GGA) on an optimized crystal structure of La2As4Rh3.

## Properties
DFT total energy ... -58.7 eV/f.u.
Energy relative to the elements ... -88.4 kJ/mol of atoms
DOS(E_F) ... 0.564 states/eV/atom

a = 8.241 Å, b = 8.241 Å, c = 7.619 Å
α = 90.00°, β = 90.00°, γ = 138.56°
Positions (direct):
La: 0.113 0.887 0.913
La: 0.387 0.613 0.413
La: 0.613 0.387 0.587
La: 0.887 0.113 0.087
As: 0.187 0.813 0.532
As: 0.196 0.304 0.750
As: 0.304 0.196 0.250
As: 0.313 0.687 0.032
As: 0.687 0.313 0.968
As: 0.696 0.804 0.750
As: 0.804 0.696 0.250
As: 0.813 0.187 0.468
Rh: 0.000 0.000 0.500
Rh: 0.033 0.467 0.750
Rh: 0.467 0.033 0.250
Rh: 0.500 0.500 0.000
Rh: 0.533 0.967 0.750
Rh: 0.967 0.533 0.250